## BaSrInHg (GGA-PBE)

Data for a geometry-optimized BaSrInHg structure.

Cell lengths 5.720, 5.720, 5.720 Å; angles 60.00, 60.00, 60.00 degrees
Fractional positions:
Ba 0.750 0.750 0.750
Hg 0.000 0.000 0.000
In 0.250 0.250 0.250
Sr 0.500 0.500 0.500

Summary:
SG: No. 216
distance to the lowest polymorph of the same formula: 231.6 meV per atom


## TbHoC2Br2 (GGA-PBE)

Data for a geometry-optimized TbHoC2Br2 structure.

Cell lengths 4.005, 4.005, 10.962 Å; angles 94.08, 94.08, 56.39 degrees
Fractional positions:
Br 0.178 0.178 0.198
Br 0.823 0.823 0.806
C 0.575 0.575 0.465
C 0.425 0.425 0.532
Ho 0.855 0.855 0.369
Tb 0.145 0.145 0.632

Summary:
SG: No. 8
E: -6.245 eV/atom


## KZrBe (GGA-PBE)

Data for a geometry-optimized KZrBe structure.

Cell lengths 4.816, 4.816, 4.816 Å; angles 60.00, 60.00, 60.00 degrees
Fractional positions:
Be 0.000 0.000 0.000
K 0.250 0.250 0.250
Zr 0.750 0.750 0.750

Summary:
SG: No. 216
distance to the lowest polymorph of the same formula: 0.0 meV per atom


## Li2AlMo (GGA-PBE)

Data for a geometry-optimized Li2AlMo structure.

Cell lengths 4.359, 4.359, 4.359 Å; angles 60.00, 60.00, 60.00 degrees
Each line ends with the local moment (μB).
Fractional positions:
Al 0.500 0.500 0.500  -0.03
Li 0.000 0.000 0.000  -0.01
Li 0.750 0.750 0.750  -0.02
Mo 0.250 0.250 0.250  1.26

Summary:
SG: No. 216
E: -4.314 eV/atom


| no. | V (Å³ per atom) |
| --- | --- |
| 1 | 33.1 |
| 2 | 24.3 |
| 3 | 26.3 |
| 4 | 14.6 |